No. 1
The following is a PBE-GGA calculation of a relaxed structure of NaLaSiHg, from Alexandria via LeMat-Bulk.

Calculated values
Symmetry: No. 216

a = 5.2438 Å, b = 5.2438 Å, c = 5.2438 Å
α = 60.00°, β = 60.00°, γ = 60.00°
Element x y z (fractional)
Na (0.0000, 0.0000, 0.0000)
La (0.5000, 0.5000, 0.5000)
Si (0.7500, 0.7500, 0.7500)
Hg (0.2500, 0.2500, 0.2500)

No. 2
The following is a PBE-GGA calculation of a relaxed structure of LiCuNi, from Alexandria via LeMat-Bulk.

Calculated values
Symmetry: No. 12
E_form, meV per atom: -40

a = 4.3721 Å, b = 4.3721 Å, c = 4.4180 Å
α = 99.19°, β = 99.19°, γ = 120.12°
Element x y z (fractional)
Li (0.1689, 0.8311, 0.0000)
Li (0.8311, 0.1689, 0.0000)
Cu (0.0000, 0.0000, 0.5000)
Cu (0.5000, 0.5000, 0.0000)
Ni (0.3375, 0.6625, 0.5000)
Ni (0.6625, 0.3375, 0.5000)

No. 3
The following is a PBE-GGA calculation of a relaxed structure of MnMo2Ir, from Alexandria via LeMat-Bulk.

Calculated values
Symmetry: No. 10
E_form, meV per atom: -38

a = 2.7330 Å, b = 3.9333 Å, c = 5.4230 Å
α = 90.00°, β = 94.45°, γ = 90.00°
Element x y z (fractional)
Mn (0.0000, 0.0000, 0.0000)
Mo (0.4522, 0.5000, 0.2424)
Mo (0.5478, 0.5000, 0.7576)
Ir (0.0000, 0.0000, 0.5000)

No. 4
The following is a PBE-GGA calculation of a relaxed structure of IrRhO5, from Alexandria via LeMat-Bulk.

Calculated values
Symmetry: No. 15

a = 5.2149 Å, b = 5.2149 Å, c = 7.1808 Å
α = 110.00°, β = 110.00°, γ = 75.35°
Element x y z (fractional)
Ir (0.0000, 0.0000, 0.0000)
Ir (0.0000, 0.0000, 0.5000)
Rh (0.4996, 0.5004, 0.2500)
Rh (0.5004, 0.4996, 0.7500)
O (0.1124, 0.8876, 0.7500)
O (0.2359, 0.2572, 0.6247)
O (0.2572, 0.2359, 0.1247)
O (0.3029, 0.6861, 0.0295)
O (0.3139, 0.6971, 0.4705)
O (0.6861, 0.3029, 0.5295)
O (0.6971, 0.3139, 0.9705)
O (0.7428, 0.7641, 0.8753)
O (0.7641, 0.7428, 0.3753)
O (0.8876, 0.1124, 0.2500)

No. 5
The following is a PBE-GGA calculation of a relaxed structure of Pm4SnBi3, from Alexandria via LeMat-Bulk.

Calculated values
Symmetry: No. 65
E_form, meV per atom: -844

a = 7.9076 Å, b = 7.9076 Å, c = 4.5360 Å
α = 90.00°, β = 90.00°, γ = 109.20°
Element x y z (fractional)
Pm (0.2469, 0.2469, 0.5000)
Pm (0.2479, 0.7521, 0.0000)
Pm (0.7521, 0.2479, 0.0000)
Pm (0.7531, 0.7531, 0.5000)
Sn (0.0000, 0.0000, 0.0000)
Bi (0.0000, 0.5000, 0.5000)
Bi (0.5000, 0.0000, 0.5000)
Bi (0.5000, 0.5000, 0.0000)

No. 6
The following is a PBE-GGA calculation of a relaxed structure of Rb2AlZn2, from Alexandria via LeMat-Bulk.

Calculated values
Symmetry: No. 127
E_form, meV per atom: 251

a = 7.2053 Å, b = 7.2053 Å, c = 6.0669 Å
α = 90.00°, β = 90.00°, γ = 90.00°
Element x y z (fractional)
Rb (0.1800, 0.3200, 0.0000)
Rb (0.3200, 0.8200, 0.0000)
Rb (0.6800, 0.1800, 0.0000)
Rb (0.8200, 0.6800, 0.0000)
Al (0.0000, 0.0000, 0.5000)
Al (0.5000, 0.5000, 0.5000)
Zn (0.1421, 0.6421, 0.5000)
Zn (0.3579, 0.1421, 0.5000)
Zn (0.6421, 0.8579, 0.5000)
Zn (0.8579, 0.3579, 0.5000)

| no. | raw total energy (eV per cell) |
| --- | --- |
| 1 | -13.269 |
| 2 | -23.826 |
| 3 | -39.847 |
| 4 | -88.474 |
| 5 | -41.402 |
| 6 | -13.942 |